Entry from Alexandria via LeMat-Bulk: crystalline CsRb7Au3 at its relaxed geometry (PBE).

The structure in POSCAR format:
```
CsRb7Au3
1.0
1.268 7.206 6.890
6.311 -1.423 7.657
6.918 6.686 -0.936
Rb Au Cs
7 3 1
Direct
0.281 0.590 0.848 Rb
0.284 0.078 0.849 Rb
0.860 0.919 0.362 Rb
0.788 0.078 0.849 Rb
0.351 0.425 0.367 Rb
0.857 0.425 0.367 Rb
0.353 0.925 0.369 Rb
0.073 0.756 0.603 Au
0.073 0.248 0.606 Au
0.568 0.756 0.603 Au
0.786 0.582 0.847 Cs
```

Output
Polymorph energy (0 for the lowest one)   0.000 eV per atom
DFT formation energy   -0.162 eV/atom

---

Entry from Alexandria via LeMat-Bulk: crystalline CsRbAu at its relaxed geometry (PBE).

The structure in POSCAR format:
```
CsRbAu
1.0
-2.122 2.583 3.953
-4.051 -3.350 0.014
6.971 -8.406 5.843
Rb Cs Au
2 2 2
Direct
0.184 0.250 0.369 Rb
0.816 0.750 0.631 Rb
0.569 0.750 0.137 Cs
0.431 0.250 0.863 Cs
0.036 0.250 0.073 Au
0.964 0.750 0.927 Au
```

Output
Polymorph energy (0 for the lowest one)   0.002 eV per atom
DFT formation energy   -0.204 eV/atom

---

Entry from Alexandria via LeMat-Bulk: crystalline Cs2Rb7Au at its relaxed geometry (PBE).

The structure in POSCAR format:
```
Cs2Rb7Au
1.0
-8.068 -8.119 1.094
4.912 -12.864 1.183
-3.495 -3.057 11.960
Rb Cs Au
14 4 2
Direct
0.272 0.491 0.139 Rb
0.664 0.794 0.432 Rb
0.336 0.206 0.568 Rb
0.111 0.294 0.932 Rb
0.636 0.250 0.750 Rb
0.947 0.369 0.480 Rb
0.053 0.631 0.520 Rb
0.902 0.009 0.361 Rb
0.364 0.750 0.250 Rb
0.728 0.509 0.861 Rb
0.204 0.869 0.980 Rb
0.098 0.991 0.639 Rb
0.889 0.706 0.068 Rb
0.796 0.131 0.020 Rb
0.351 0.101 0.200 Cs
0.652 0.399 0.300 Cs
0.649 0.899 0.800 Cs
0.348 0.601 0.700 Cs
0.961 0.250 0.750 Au
0.039 0.750 0.250 Au
```

Output
DFT formation energy   -0.041 eV/atom

---

Entry from Alexandria via LeMat-Bulk: crystalline Cs12Rb5Au3 at its relaxed geometry (PBE).

The structure in POSCAR format:
```
Cs12Rb5Au3
1.0
-19.120 10.790 2.252
6.427 -7.757 19.637
15.346 13.784 -7.846
Cs Au Rb
48 12 20
Direct
0.128 0.372 0.032 Cs
0.872 0.032 0.628 Cs
0.756 0.128 0.096 Cs
0.256 0.660 0.128 Cs
0.628 0.872 0.468 Cs
0.756 0.628 0.160 Cs
0.372 0.904 0.744 Cs
0.872 0.840 0.744 Cs
0.404 0.660 0.032 Cs
0.532 0.904 0.660 Cs
0.968 0.840 0.596 Cs
0.660 0.256 0.628 Cs
0.160 0.032 0.904 Cs
0.032 0.160 0.404 Cs
0.468 0.096 0.340 Cs
0.256 0.596 0.628 Cs
0.628 0.096 0.256 Cs
0.468 0.372 0.628 Cs
0.840 0.968 0.096 Cs
0.160 0.128 0.756 Cs
0.596 0.256 0.128 Cs
0.628 0.532 0.872 Cs
0.532 0.628 0.372 Cs
0.096 0.468 0.840 Cs
0.596 0.340 0.968 Cs
0.660 0.404 0.532 Cs
0.372 0.468 0.128 Cs
0.628 0.756 0.660 Cs
0.372 0.128 0.532 Cs
0.128 0.160 0.256 Cs
0.244 0.372 0.840 Cs
0.128 0.756 0.596 Cs
0.872 0.628 0.968 Cs
0.904 0.372 0.244 Cs
0.096 0.628 0.756 Cs
0.372 0.244 0.340 Cs
0.840 0.872 0.244 Cs
0.340 0.744 0.372 Cs
0.744 0.404 0.372 Cs
0.128 0.968 0.372 Cs
0.244 0.872 0.904 Cs
0.904 0.532 0.160 Cs
0.872 0.244 0.404 Cs
0.744 0.340 0.872 Cs
0.340 0.596 0.468 Cs
0.404 0.744 0.872 Cs
0.032 0.872 0.128 Cs
0.968 0.128 0.872 Cs
0.250 0.125 0.375 Au
0.875 0.750 0.125 Au
0.375 0.750 0.625 Au
0.250 0.625 0.875 Au
0.625 0.250 0.375 Au
0.750 0.375 0.125 Au
0.125 0.875 0.750 Au
0.875 0.125 0.250 Au
0.625 0.375 0.750 Au
0.125 0.250 0.875 Au
0.375 0.625 0.250 Au
0.750 0.875 0.625 Au
0.250 0.875 0.125 Rb
0.250 0.375 0.625 Rb
0.000 0.500 0.500 Rb
0.625 0.750 0.875 Rb
0.750 0.625 0.375 Rb
0.375 0.125 0.750 Rb
0.625 0.875 0.250 Rb
0.000 0.000 0.500 Rb
0.750 0.125 0.875 Rb
0.500 0.000 0.000 Rb
0.375 0.250 0.125 Rb
0.000 0.000 0.000 Rb
0.125 0.750 0.375 Rb
0.500 0.500 0.000 Rb
0.125 0.375 0.250 Rb
0.000 0.500 0.000 Rb
0.500 0.000 0.500 Rb
0.500 0.500 0.500 Rb
0.875 0.625 0.750 Rb
0.875 0.250 0.625 Rb
```

Output
Polymorph energy (0 for the lowest one)   0.132 eV per atom
DFT formation energy   0.060 eV/atom

---

Entry from Alexandria via LeMat-Bulk: crystalline CsRb8Au2 at its relaxed geometry (PBE).

The structure in POSCAR format:
```
CsRb8Au2
1.0
-6.667 -1.418 1.317
4.419 -8.635 -5.110
6.088 -4.246 8.069
Rb Cs Au
8 1 2
Direct
0.173 0.005 0.342 Rb
0.827 0.995 0.658 Rb
0.500 0.192 0.808 Rb
0.827 0.658 0.995 Rb
0.828 0.328 0.328 Rb
0.173 0.342 0.005 Rb
0.500 0.808 0.192 Rb
0.172 0.672 0.672 Rb
0.500 0.500 0.500 Cs
0.000 0.668 0.332 Au
0.000 0.332 0.668 Au
```

Output
Polymorph energy (0 for the lowest one)   0.008 eV per atom
DFT formation energy   -0.082 eV/atom

---

Entry from Alexandria via LeMat-Bulk: crystalline CsRbAu at its relaxed geometry (PBE).

The structure in POSCAR format:
```
CsRbAu
1.0
-5.185 1.212 3.232
-4.719 -0.339 -7.444
-1.691 -11.481 1.594
Au Cs Rb
4 4 4
Direct
0.750 0.964 0.365 Au
0.250 0.464 0.135 Au
0.250 0.036 0.635 Au
0.750 0.536 0.865 Au
0.750 0.287 0.590 Cs
0.750 0.213 0.090 Cs
0.250 0.713 0.410 Cs
0.250 0.787 0.910 Cs
0.750 0.831 0.656 Rb
0.250 0.331 0.844 Rb
0.750 0.669 0.156 Rb
0.250 0.169 0.344 Rb
```

Output
Polymorph energy (0 for the lowest one)   0.011 eV per atom
DFT formation energy   -0.195 eV/atom

---

Entry from Alexandria via LeMat-Bulk: crystalline Cs2Rb3Au3 at its relaxed geometry (PBE).

The structure in POSCAR format:
```
Cs2Rb3Au3
1.0
-4.902 0.570 -5.146
6.934 -4.915 -2.210
-8.073 -13.491 6.194
Cs Au Rb
4 6 6
Direct
0.341 0.681 0.429 Cs
0.955 0.910 0.628 Cs
0.333 0.666 0.072 Cs
0.655 0.311 0.925 Cs
0.221 0.443 0.250 Au
0.839 0.678 0.061 Au
0.848 0.696 0.442 Au
0.147 0.294 0.942 Au
0.163 0.327 0.557 Au
0.772 0.544 0.747 Au
0.251 0.503 0.753 Rb
0.742 0.485 0.251 Rb
0.049 0.097 0.123 Rb
0.938 0.876 0.883 Rb
0.054 0.108 0.377 Rb
0.671 0.342 0.563 Rb
```

Output
DFT formation energy   -0.203 eV/atom

---

Entry from Alexandria via LeMat-Bulk: crystalline CsRb3Au4 at its relaxed geometry (PBE).

The structure in POSCAR format:
```
CsRb3Au4
1.0
-1.660 -6.914 0.957
6.611 -1.241 2.497
-2.241 1.459 6.658
Au Rb Cs
4 3 1
Direct
0.000 0.500 0.000 Au
0.000 0.000 0.500 Au
0.500 0.000 0.000 Au
0.500 0.500 0.500 Au
0.500 0.500 0.000 Rb
0.500 0.000 0.500 Rb
0.000 0.500 0.500 Rb
0.000 0.000 0.000 Cs
```

Output
Polymorph energy (0 for the lowest one)   0.014 eV per atom
DFT formation energy   -0.271 eV/atom

---

Entry from Alexandria via LeMat-Bulk: crystalline CsRb6Au3 at its relaxed geometry (PBE).

The structure in POSCAR format:
```
CsRb6Au3
1.0
-4.786 -0.573 -1.027
-2.384 -4.073 13.382
-2.322 15.806 2.001
Rb Au Cs
12 6 2
Direct
0.250 0.204 0.682 Rb
0.750 0.738 0.745 Rb
0.750 0.449 0.594 Rb
0.750 0.516 0.151 Rb
0.750 0.796 0.318 Rb
0.250 0.262 0.255 Rb
0.250 0.551 0.406 Rb
0.250 0.270 0.990 Rb
0.250 0.484 0.849 Rb
0.750 0.730 0.010 Rb
0.250 0.871 0.561 Rb
0.750 0.129 0.439 Rb
0.250 0.708 0.171 Au
0.250 0.848 0.901 Au
0.750 0.292 0.829 Au
0.750 0.152 0.099 Au
0.250 0.308 0.485 Au
0.750 0.692 0.515 Au
0.250 0.969 0.125 Cs
0.750 0.031 0.875 Cs
```

Output
DFT formation energy   -0.171 eV/atom

---

Entry from Alexandria via LeMat-Bulk: crystalline Cs7RbAu3 at its relaxed geometry (PBE).

The structure in POSCAR format:
```
Cs7RbAu3
1.0
8.643 0.000 0.000
0.000 10.455 0.000
0.000 -5.227 9.054
Cs Au Rb
7 3 1
Direct
0.547 0.830 0.170 Cs
0.023 0.173 0.346 Cs
0.008 0.667 0.333 Cs
0.547 0.830 0.659 Cs
0.023 0.173 0.827 Cs
0.023 0.654 0.827 Cs
0.547 0.341 0.170 Cs
0.781 0.498 0.996 Au
0.781 0.004 0.502 Au
0.781 0.498 0.502 Au
0.557 0.333 0.667 Rb
```

Output
DFT formation energy   -0.184 eV/atom

---

Entry from Alexandria via LeMat-Bulk: crystalline CsRb12Au6 at its relaxed geometry (PBE).

The structure in POSCAR format:
```
CsRb12Au6
1.0
10.142 -0.060 -2.639
-3.399 9.556 -2.639
-0.042 -0.060 10.480
Rb Au Cs
12 6 1
Direct
0.875 0.125 0.500 Rb
0.500 0.125 0.875 Rb
0.555 0.555 0.821 Rb
0.445 0.445 0.179 Rb
0.125 0.875 0.500 Rb
0.555 0.821 0.555 Rb
0.125 0.500 0.875 Rb
0.821 0.555 0.555 Rb
0.875 0.500 0.125 Rb
0.445 0.179 0.445 Rb
0.179 0.445 0.445 Rb
0.500 0.875 0.125 Rb
0.249 0.249 0.684 Au
0.249 0.684 0.249 Au
0.751 0.751 0.316 Au
0.684 0.249 0.249 Au
0.316 0.751 0.751 Au
0.751 0.316 0.751 Au
0.000 0.000 0.000 Cs
```

Output
DFT formation energy   -0.163 eV/atom

---

Entry from Alexandria via LeMat-Bulk: crystalline Cs5Rb2Au5 at its relaxed geometry (PBE).

The structure in POSCAR format:
```
Cs5Rb2Au5
1.0
5.007 0.000 0.000
-2.503 8.507 -0.002
0.000 -4.062 14.513
Rb Cs Au
2 5 5
Direct
0.036 0.073 0.785 Rb
0.964 0.927 0.215 Rb
0.258 0.517 0.649 Cs
0.500 0.000 0.500 Cs
0.342 0.684 0.950 Cs
0.658 0.316 0.050 Cs
0.742 0.483 0.351 Cs
0.000 0.000 0.000 Au
0.310 0.620 0.191 Au
0.117 0.234 0.421 Au
0.690 0.380 0.809 Au
0.883 0.766 0.579 Au
```

Output
DFT formation energy   -0.264 eV/atom

---

Entry from Alexandria via LeMat-Bulk: crystalline CsRb8Au4 at its relaxed geometry (PBE).

The structure in POSCAR format:
```
CsRb8Au4
1.0
10.948 1.650 0.529
-6.404 7.214 -5.461
2.879 -2.952 9.872
Rb Au Cs
8 4 1
Direct
0.151 0.087 0.238 Rb
0.568 0.051 0.207 Rb
0.156 0.639 0.207 Rb
0.844 0.361 0.793 Rb
0.849 0.913 0.762 Rb
0.432 0.949 0.793 Rb
0.609 0.637 0.246 Rb
0.391 0.363 0.754 Rb
0.215 0.611 0.826 Au
0.780 0.780 0.000 Au
0.785 0.389 0.174 Au
0.220 0.220 0.000 Au
0.000 0.500 0.500 Cs
```

Output
DFT formation energy   -0.151 eV/atom

---

Entry from Alexandria via LeMat-Bulk: crystalline Cs6RbAu3 at its relaxed geometry (PBE).

The structure in POSCAR format:
```
Cs6RbAu3
1.0
-6.939 2.861 6.200
2.526 -9.389 -0.480
9.498 2.456 1.841
Au Cs Rb
3 6 1
Direct
0.387 0.694 0.081 Au
0.319 0.159 0.478 Au
0.675 0.337 0.012 Au
0.113 0.759 0.206 Cs
0.278 0.916 0.756 Cs
0.448 0.354 0.207 Cs
0.393 0.478 0.756 Cs
0.840 0.362 0.756 Cs
0.852 0.093 0.206 Cs
0.695 0.848 0.543 Rb
```

Output
DFT formation energy   -0.177 eV/atom

---

Entry from Alexandria via LeMat-Bulk: crystalline Cs4RbAu at its relaxed geometry (PBE).

The structure in POSCAR format:
```
Cs4RbAu
1.0
8.587 0.000 -0.357
0.000 10.051 0.000
-2.892 -5.026 11.587
Cs Rb Au
8 2 2
Direct
0.782 0.317 0.634 Cs
0.000 0.735 0.000 Cs
0.218 0.683 0.366 Cs
0.388 0.155 0.791 Cs
0.612 0.364 0.209 Cs
0.388 0.636 0.791 Cs
0.612 0.845 0.209 Cs
0.000 0.265 0.000 Cs
0.180 0.195 0.390 Rb
0.820 0.805 0.610 Rb
0.659 0.488 0.977 Au
0.341 0.512 0.023 Au
```

Output
DFT formation energy   -0.116 eV/atom

---

Entry from Alexandria via LeMat-Bulk: crystalline Cs2RbAu at its relaxed geometry (PBE).

The structure in POSCAR format:
```
Cs2RbAu
1.0
5.781 0.000 0.000
0.000 6.398 0.000
0.000 0.000 6.398
Rb Au Cs
1 1 2
Direct
0.500 0.000 0.000 Rb
0.500 0.500 0.500 Au
0.000 0.000 0.500 Cs
0.000 0.500 0.000 Cs
```

Output
Polymorph energy (0 for the lowest one)   0.152 eV per atom
DFT formation energy   -0.026 eV/atom

---

Entry from Alexandria via LeMat-Bulk: crystalline Cs5RbAu2 at its relaxed geometry (PBE).

The structure in POSCAR format:
```
Cs5RbAu2
1.0
-1.883 0.479 5.110
2.024 -10.726 4.676
8.923 -4.212 6.608
Cs Rb Au
5 1 2
Direct
0.667 0.085 0.581 Cs
0.667 0.581 0.085 Cs
0.000 0.500 0.500 Cs
0.333 0.419 0.915 Cs
0.333 0.915 0.419 Cs
0.000 0.000 0.000 Rb
0.191 0.309 0.309 Au
0.809 0.691 0.691 Au
```

Output
DFT formation energy   -0.167 eV/atom